# PBEsol NaAlTc2, relaxed
data_NaAlTc2
_chemical_formula_sum 'Na4 Al4 Tc8'
_symmetry_space_group_name_H-M 'I -4 2 d'
_symmetry_Int_Tables_number 122
_symmetry_space_group_name_Hall 'I -4 2bw'
_cell_length_a 3.8071
_cell_length_b 3.8071
_cell_length_c 19.0966
_cell_angle_alpha 90.00
_cell_angle_beta 90.00
_cell_angle_gamma 90.00
loop_
_atom_site_label
_atom_site_type_symbol
_atom_site_fract_x
_atom_site_fract_y
_atom_site_fract_z
Na1 Na 0.0000 0.0000 0.0000
Al1 Al 0.0000 0.0000 0.5000
Tc1 Tc 0.1823 0.2500 0.6250
# Energy   -6.16 eV per atom
# Energy of formation   0.84 eV/atom
# Magnetization   0.000 μB/atom
# Volume   276.8 Å³/cell